# RbNiF3 GGA+U optimized geometry
# - DOS(E_F): 0.000 states/eV/atom
# - E: -4.260 eV/atom
# - Magnetization: 8.00 Bohr magnetons per cell
# - Volume: 16.44 A^3/atom
# - Mass density: 4063 kg/m3
data_RbNiF3
_cell_length_a 6.015
_cell_length_b 10.442
_cell_length_c 5.236
_cell_angle_alpha 90.00
_cell_angle_beta 90.00
_cell_angle_gamma 90.00
_symmetry_space_group_name_H-M 'C m c m'
_symmetry_Int_Tables_number 63
_symmetry_space_group_name_Hall '-C 2c 2'
loop_
_atom_site_label
_atom_site_type_symbol
_atom_site_fract_x
_atom_site_fract_y
_atom_site_fract_z
Rb1 Rb 0.000 0.167 0.250
Ni1 Ni 0.000 0.500 0.000
F1 F 0.000 0.351 0.750
F2 F 0.224 0.426 0.250